Entry 1:
This record from the Alexandria database describes a geometry-optimized BaAc2MgTl4 structure. The functional is PBE.

```
8
Lattice="5.618 0.000 0.000 2.809 4.866 0.000 2.809 1.622 10.260" Properties=species:S:1:pos:R:3 pbc="T T T"
Ba 0.000 0.000 0.000
Ac 8.428 4.866 7.253
Ac 2.809 1.622 3.007
Mg 5.618 3.244 5.130
Tl 5.618 3.244 8.521
Tl 8.428 4.866 3.854
Tl 2.809 1.622 6.406
Tl 5.618 3.244 1.739
```


Entry 2:
This record from the Alexandria database describes a geometry-optimized BaAcMg2Tl2 structure. The functional is PBE.

```
6
Lattice="5.229 0.000 0.000 -2.615 4.529 0.000 0.000 0.000 8.558" Properties=species:S:1:pos:R:3 pbc="T T T"
Ba 0.000 0.000 0.000
Ac 0.000 0.000 4.279
Mg 0.000 3.019 6.074
Mg 2.615 1.510 2.484
Tl 0.000 3.019 2.458
Tl 2.615 1.510 6.099
```


The calculated formation energy results, record by record, are as follows: -0.29 -0.29 eV per atom.